# TaCuTe2 | Alexandria | GGA-PBE | optimized geometry
data_TaCuTe2
_chemical_formula_sum 'Ta4 Cu4 Te8'
_cell_length_a 6.1591
_cell_length_b 6.1591
_cell_length_c 12.2926
_cell_angle_alpha 90.00
_cell_angle_beta 90.00
_cell_angle_gamma 90.00
_symmetry_space_group_name_H-M 'I -4 2 d'
_symmetry_Int_Tables_number 122
_symmetry_space_group_name_Hall 'I -4 2bw'
loop_
_atom_site_label
_atom_site_type_symbol
_atom_site_fract_x
_atom_site_fract_y
_atom_site_fract_z
_atom_site_occupancy
Ta1 Ta 0.0000 0.0000 0.0000 1
Cu1 Cu 0.0000 0.0000 0.5000 1
Te1 Te 0.2334 0.2500 0.6250 1
# **E_form (uncorrected)**: 1.10 eV per formula unit
# **Total moment**: 7.78 μB per cell
# **Total DFT energy (no corrections)**: -5.283 eV/atom